# 1
The following is a DFT calculation (GGA-PBEsol) of a relaxed structure of TbGd3P4O16.

a b c (Å): 5.7756 5.7756 9.2264
angles (deg): 96.18 96.18 73.98
Closest atoms and distances in Å follow each position.
Fractional coordinates of all 24 atoms:
Tb (0.0000, 0.0000, 0.0000)  8 O 2.31-2.38
Gd (0.1251, 0.1251, 0.6254)  8 O 2.33-2.41
Gd (0.5000, 0.5000, 0.4999)  8 O 2.33-2.41
Gd (0.6248, 0.6248, 0.1246)  8 O 2.33-2.41
P (0.2489, 0.2489, 0.2490)  4 O 1.55
P (0.3745, 0.3745, 0.8760)  4 O 1.55
P (0.7511, 0.7511, 0.7509)  4 O 1.55
P (0.8755, 0.8755, 0.3740)  4 O 1.55
O (0.1290, 0.7797, 0.4537)  1 P 1.55
O (0.2078, 0.2078, 0.8844)  1 P 1.55
O (0.2412, 0.2412, 0.4157)  1 P 1.55
O (0.2785, 0.6292, 0.9545)  1 P 1.55
O (0.3430, 0.9952, 0.1692)  1 P 1.55
O (0.3827, 0.3827, 0.7093)  1 P 1.55
O (0.4155, 0.4155, 0.2413)  1 P 1.55
O (0.4973, 0.8460, 0.6714)  1 P 1.55
O (0.6292, 0.2785, 0.9545)  1 P 1.55
O (0.7089, 0.7089, 0.3822)  1 P 1.55
O (0.7439, 0.7439, 0.9176)  1 P 1.55
O (0.7797, 0.1290, 0.4537)  1 P 1.55
O (0.8460, 0.4973, 0.6714)  1 P 1.55
O (0.8840, 0.8840, 0.2074)  1 P 1.55
O (0.9179, 0.9179, 0.7438)  1 P 1.55
O (0.9952, 0.3430, 0.1692)  1 P 1.55

Values from the calculation:
**Space group**: Cm (8)
**Calculated volume**: 293 Å³/cell
**Crystal system**: monoclinic
**Energy**: -0.3500 hartree per atom

---

# 2
The following is a DFT calculation (GGA-PBEsol) of a relaxed structure of Zn2TeIr.

a b c (Å): 3.3684 3.3684 5.8831
angles (deg): 90.00 90.00 90.00
Closest atoms and distances in Å follow each position.
Fractional coordinates of all 4 atoms:
Zn (0.0000, 0.0000, 0.2076)  1 Zn 2.44, 4 Ir 2.68
Zn (0.0000, 0.0000, 0.7924)  1 Zn 2.44, 4 Ir 2.68
Te (0.5000, 0.5000, 0.5000)  8 Zn 2.94, 2 Ir 2.94
Ir (0.5000, 0.5000, 0.0000)  8 Zn 2.68, 2 Te 2.94

Values from the calculation:
**Space group**: P4/mmm (123)
**Calculated volume**: 67 Å³/cell
**Crystal system**: tetragonal
**Energy**: -0.1466 hartree per atom

---

# 3
The following is a DFT calculation (GGA-PBEsol) of a relaxed structure of Na2CdAg2.

a b c (Å): 7.1091 7.1091 4.5112
angles (deg): 90.00 90.00 90.00
Closest atoms and distances in Å follow each position.
Fractional coordinates of all 10 atoms:
Na (0.1692, 0.3308, 0.0000)  6 Ag 2.99-3.13
Na (0.3308, 0.8308, 0.0000)  6 Ag 2.99-3.13
Na (0.6692, 0.1692, 0.0000)  6 Ag 2.99-3.13
Na (0.8308, 0.6692, 0.0000)  6 Ag 2.99-3.13
Cd (0.0000, 0.0000, 0.5000)  4 Ag 2.77
Cd (0.5000, 0.5000, 0.5000)  4 Ag 2.77
Ag (0.1348, 0.6348, 0.5000)  1 Ag 2.71, 2 Cd 2.77, 2 Na 2.99
Ag (0.3652, 0.1348, 0.5000)  1 Ag 2.71, 2 Cd 2.77, 2 Na 2.99
Ag (0.6348, 0.8652, 0.5000)  1 Ag 2.71, 2 Cd 2.77, 2 Na 2.99
Ag (0.8652, 0.3652, 0.5000)  1 Ag 2.71, 2 Cd 2.77, 2 Na 2.99

Values from the calculation:
**E_form**: 33 meV per atom
**Space group**: P4/mbm (127)
**Calculated volume**: 228 Å³/cell
**Crystal system**: tetragonal
**Energy**: -0.0769 hartree per atom

---

# 4
The following is a DFT calculation (GGA-PBEsol) of a relaxed structure of Sr3Ta4Ti4O21.

a b c (Å): 8.9796 8.9796 11.4659
angles (deg): 90.06 90.06 60.23
Closest atoms and distances in Å follow each position.
Fractional coordinates of all 64 atoms:
Sr (0.0873, 0.5198, 0.2509)  7 O 2.63-2.88
Sr (0.0887, 0.9113, 0.7500)  6 O 2.69-2.70
Sr (0.4802, 0.9127, 0.2491)  7 O 2.63-2.88
Sr (0.5198, 0.0873, 0.7509)  7 O 2.63-2.88
Sr (0.9113, 0.0887, 0.2500)  6 O 2.69-2.70
Sr (0.9127, 0.4802, 0.7491)  7 O 2.63-2.88
Ta (0.1613, 0.1703, 0.5000)  6 O 1.96-2.00
Ta (0.1703, 0.1613, 0.0000)  6 O 1.96-2.00
Ta (0.2559, 0.5011, 0.9068)  6 O 1.89-2.06
Ta (0.4989, 0.7441, 0.5932)  6 O 1.89-2.06
Ta (0.5011, 0.2559, 0.4068)  6 O 1.89-2.06
Ta (0.7441, 0.4989, 0.0932)  6 O 1.89-2.06
Ta (0.8297, 0.8387, 0.0000)  6 O 1.96-2.00
Ta (0.8387, 0.8297, 0.5000)  6 O 1.96-2.00
Ti (0.2490, 0.5041, 0.5939)  4 O 1.83-1.97
Ti (0.2510, 0.7486, 0.0964)  4 O 1.82-1.99
Ti (0.2514, 0.7490, 0.4036)  4 O 1.82-1.99
Ti (0.4959, 0.7510, 0.9061)  4 O 1.83-1.97
Ti (0.5041, 0.2490, 0.0939)  4 O 1.83-1.97
Ti (0.7486, 0.2510, 0.5964)  4 O 1.82-1.99
Ti (0.7490, 0.2514, 0.9036)  4 O 1.82-1.99
Ti (0.7510, 0.4959, 0.4061)  4 O 1.83-1.97
O (0.0110, 0.6659, 0.8947)  2 Ta 1.95-2.00
O (0.0153, 0.8140, 0.3911)  1 Ti 1.90, 1 Ta 1.97
O (0.0160, 0.6705, 0.6083)  1 Ti 1.88, 1 Ta 1.96
O (0.0160, 0.8196, 0.1041)  1 Ti 1.88, 1 Ta 1.99
O (0.1774, 0.3398, 0.6001)  1 Ti 1.88, 1 Ta 1.97
O (0.1794, 0.3327, 0.8927)  2 Ta 1.95-2.00
O (0.1804, 0.9840, 0.3959)  1 Ti 1.88, 1 Ta 1.99
O (0.1860, 0.9847, 0.1089)  1 Ti 1.90, 1 Ta 1.97
O (0.2860, 0.7115, 0.9256)  2 Ti 1.99-2.10, 1 Ta 2.05
O (0.2881, 0.5004, 0.0778)  1 Ta 1.98, 2 Ti 2.09-2.13
O (0.2885, 0.7140, 0.5744)  2 Ti 1.99-2.10, 1 Ta 2.05
O (0.2924, 0.4985, 0.4252)  2 Ti 1.97-2.11, 1 Ta 2.06
O (0.3032, 0.6968, 0.2500)  2 Ti 1.82
O (0.3090, 0.5016, 0.7472)  1 Ti 1.83, 1 Ta 1.89
O (0.3295, 0.9840, 0.8917)  1 Ti 1.88, 1 Ta 1.96
O (0.3327, 0.1794, 0.3927)  2 Ta 1.95-2.00
O (0.3341, 0.9890, 0.6053)  2 Ta 1.95-2.00
O (0.3398, 0.1774, 0.1001)  1 Ti 1.88, 1 Ta 1.97
O (0.4984, 0.6910, 0.7528)  1 Ti 1.83, 1 Ta 1.89
O (0.4985, 0.2924, 0.9252)  2 Ti 1.97-2.11, 1 Ta 2.06
O (0.5004, 0.2881, 0.5778)  1 Ta 1.98, 2 Ti 2.09-2.13
O (0.4996, 0.7119, 0.4222)  1 Ta 1.98, 2 Ti 2.09-2.13
O (0.5015, 0.7076, 0.0748)  2 Ti 1.97-2.11, 1 Ta 2.06
O (0.5016, 0.3090, 0.2472)  1 Ti 1.83, 1 Ta 1.89
O (0.6602, 0.8226, 0.8999)  1 Ti 1.88, 1 Ta 1.97
O (0.6659, 0.0110, 0.3947)  2 Ta 1.95-2.00
O (0.6673, 0.8206, 0.6073)  2 Ta 1.95-2.00
O (0.6705, 0.0160, 0.1083)  1 Ti 1.88, 1 Ta 1.96
O (0.6910, 0.4984, 0.2528)  1 Ti 1.83, 1 Ta 1.89
O (0.6968, 0.3032, 0.7500)  2 Ti 1.82
O (0.7076, 0.5015, 0.5748)  2 Ti 1.97-2.11, 1 Ta 2.06
O (0.7115, 0.2860, 0.4256)  2 Ti 1.99-2.10, 1 Ta 2.05
O (0.7119, 0.4996, 0.9222)  1 Ta 1.98, 2 Ti 2.09-2.13
O (0.7140, 0.2885, 0.0744)  2 Ti 1.99-2.10, 1 Ta 2.05
O (0.8140, 0.0153, 0.8911)  1 Ti 1.90, 1 Ta 1.97
O (0.8196, 0.0160, 0.6041)  1 Ti 1.88, 1 Ta 1.99
O (0.8206, 0.6673, 0.1073)  2 Ta 1.95-2.00
O (0.8226, 0.6602, 0.3999)  1 Ti 1.88, 1 Ta 1.97
O (0.9840, 0.1804, 0.8959)  1 Ti 1.88, 1 Ta 1.99
O (0.9840, 0.3295, 0.3917)  1 Ti 1.88, 1 Ta 1.96
O (0.9847, 0.1860, 0.6089)  1 Ti 1.90, 1 Ta 1.97
O (0.9890, 0.3341, 0.1053)  2 Ta 1.95-2.00

Values from the calculation:
**Space group**: C2/c (15)
**Calculated volume**: 803 Å³/cell
**Crystal system**: monoclinic
**Energy**: -0.3405 hartree per atom

---

# 5
The following is a DFT calculation (GGA-PBEsol) of a relaxed structure of Li4Ti3VO8.

a b c (Å): 5.9360 5.9360 5.9360
angles (deg): 57.85 57.85 57.85
Closest atoms and distances in Å follow each position.
Fractional coordinates of all 16 atoms:
Li (0.0000, 0.0000, 0.0000)  6 O 2.09
Li (0.0000, 0.5000, 0.5000)  6 O 2.10
Li (0.5000, 0.0000, 0.5000)  6 O 2.10
Li (0.5000, 0.5000, 0.0000)  6 O 2.10
Ti (0.0000, 0.0000, 0.5000)  6 O 2.03
Ti (0.0000, 0.5000, 0.0000)  6 O 2.03
Ti (0.5000, 0.0000, 0.0000)  6 O 2.03
V (0.5000, 0.5000, 0.5000)  6 O 2.04
O (0.2441, 0.7474, 0.7474)  2 Ti 2.03, 1 V 2.04, 3 Li 2.09-2.10
O (0.2465, 0.2465, 0.2465)  3 Ti 2.03, 3 Li 2.10
O (0.2526, 0.2526, 0.7559)  2 Ti 2.03, 1 V 2.04, 3 Li 2.09-2.10
O (0.2526, 0.7559, 0.2526)  2 Ti 2.03, 1 V 2.04, 3 Li 2.09-2.10
O (0.7474, 0.2441, 0.7474)  2 Ti 2.03, 1 V 2.04, 3 Li 2.09-2.10
O (0.7474, 0.7474, 0.2441)  2 Ti 2.03, 1 V 2.04, 3 Li 2.09-2.10
O (0.7535, 0.7535, 0.7535)  3 Ti 2.03, 3 Li 2.10
O (0.7559, 0.2526, 0.2526)  2 Ti 2.03, 1 V 2.04, 3 Li 2.09-2.10

Values from the calculation:
**Space group**: R-3m (166)
**Calculated volume**: 141 Å³/cell
**Crystal system**: trigonal
**Energy**: -0.2889 hartree per atom

---

# 6
The following is a DFT calculation (GGA-PBEsol) of a relaxed structure of Sc3MnBi.

a b c (Å): 5.3590 5.3590 5.3590
angles (deg): 90.00 90.00 90.00
Closest atoms and distances in Å follow each position.
Fractional coordinates of all 5 atoms:
Sc (0.0000, 0.0000, 0.5000)  2 Bi 2.68
Sc (0.0000, 0.5000, 0.0000)  2 Bi 2.68
Sc (0.5000, 0.0000, 0.0000)  2 Bi 2.68
Mn (0.5000, 0.5000, 0.5000)  12 Sc 3.79
Bi (0.0000, 0.0000, 0.0000)  6 Sc 2.68

Values from the calculation:
**E_form**: 821 meV per atom
**Space group**: Pm-3m (221)
**Calculated volume**: 154 Å³/cell
**Crystal system**: cubic
**Energy**: -0.2187 hartree per atom

---

# 7
The following is a DFT calculation (GGA-PBEsol) of a relaxed structure of BaSr3Mn.

a b c (Å): 6.0992 6.0992 6.0992
angles (deg): 90.00 90.00 90.00
Closest atoms and distances in Å follow each position.
Fractional coordinates of all 5 atoms:
Ba (0.0000, 0.0000, 0.0000)  12 Sr 4.31
Sr (0.0000, 0.5000, 0.5000)  2 Mn 3.05
Sr (0.5000, 0.0000, 0.5000)  2 Mn 3.05
Sr (0.5000, 0.5000, 0.0000)  2 Mn 3.05
Mn (0.5000, 0.5000, 0.5000)  6 Sr 3.05

Values from the calculation:
**E_form**: 411 meV per atom
**Space group**: Pm-3m (221)
**Calculated volume**: 227 Å³/cell
**Crystal system**: cubic
**Energy**: -0.1130 hartree per atom

---

# 8
The following is a DFT calculation (GGA-PBEsol) of a relaxed structure of LiZrMn2.

a b c (Å): 4.7290 4.7290 4.7290
angles (deg): 131.16 131.16 71.56
Closest atoms and distances in Å follow each position.
Fractional coordinates of all 4 atoms:
Li (0.0000, 0.0000, 0.0000)  8 Mn 2.74, 4 Zr 2.76
Zr (0.5000, 0.5000, 0.0000)  8 Mn 2.74, 4 Li 2.76
Mn (0.2500, 0.7500, 0.5000)  4 Zr 2.74, 4 Li 2.74, 4 Mn 2.76
Mn (0.7500, 0.2500, 0.5000)  4 Zr 2.74, 4 Li 2.74, 4 Mn 2.76

Values from the calculation:
**E_form**: 374 meV per atom
**Space group**: I4/mmm (139)
**Calculated volume**: 59 Å³/cell
**Crystal system**: tetragonal
**Energy**: -0.2672 hartree per atom